Entry 1:
Entry from OQMD: TmZnNi after structural relaxation (PBE).

a b c (Å): 4.340 4.340 4.340
angles (deg): 60.00 60.00 60.00
Atoms (fractional coordinates):
1 Ni 0.000 0.000 0.000
2 Zn 0.750 0.750 0.750
3 Tm 0.250 0.250 0.250

E_tot = -12.20 eV/f.u.
Total magnetic moment = 0.000 μB/atom
Space-group type = F-43m (216)
Formation energy from the elements = -0.296 eV/atom

Entry 2:
Entry from OQMD: RbBeFe after structural relaxation (PBE).

a b c (Å): 4.827 4.827 4.827
angles (deg): 60.00 60.00 60.00
Atoms (fractional coordinates):
1 Rb 0.750 0.750 0.750
2 Be 0.250 0.250 0.250
3 Fe 0.000 0.000 0.000

E_tot = -7.91 eV/f.u.
Total magnetic moment = 0.892 μB/atom
Space-group type = F-43m (216)
Energy relative to the lowest polymorph listed for this composition = 61.6 meV per atom

Entry 3:
Entry from OQMD: NdDy2Ge4Au4 after structural relaxation (PBE).

a b c (Å): 8.445 8.445 8.445
angles (deg): 150.05 129.98 59.40
Atoms (fractional coordinates):
1 Nd 0.000 0.000 0.000
2 Au 0.966 0.667 0.299
3 Dy 0.373 0.873 0.500
4 Au 0.632 0.333 0.299
5 Ge 0.218 0.218 0.000
6 Ge 0.782 0.782 0.000
7 Ge 0.319 0.500 0.819
8 Ge 0.681 0.500 0.181
9 Au 0.034 0.333 0.701
10 Dy 0.627 0.127 0.500
11 Au 0.368 0.667 0.701

E_tot = -53.26 eV/f.u.
Total magnetic moment = 0.000 μB/atom
Space-group type = Immm (71)